Entry from Alexandria via LeMat-Bulk: Pm6Dy3Ho2Er after structural relaxation (GGA-PBE).

abc: 6.231 6.231 11.812
angles: 95.03 95.03 119.99
Sites, in units of the cell vectors:
Pm 0.083 0.416 0.751
Pm 0.250 0.250 0.249
Pm 0.416 0.083 0.751
Pm 0.584 0.917 0.249
Pm 0.750 0.750 0.751
Pm 0.917 0.584 0.249
Dy 0.000 0.000 0.500
Dy 0.333 0.667 0.500
Dy 0.667 0.333 0.500
Ho 0.167 0.833 0.000
Ho 0.833 0.167 0.000
Er 0.500 0.500 0.000

Output
magnetic moment = 0.00 μB per formula unit
ΔH_f (0 K) = 13 meV/atom
V = 391.0 Å³/f.u.
density = 7.88 g/cm3
E = -55.88 eV per cell

Entry from Alexandria via LeMat-Bulk: PmDyHo2Er2 after structural relaxation (GGA-PBE).

abc: 6.525 17.647 3.379
angles: 90.00 90.00 90.00
Sites, in units of the cell vectors:
Pm 0.000 0.000 0.000
Pm 0.500 0.500 0.500
Dy 0.000 0.500 0.000
Dy 0.500 0.000 0.500
Ho 0.227 0.185 0.000
Ho 0.273 0.685 0.500
Ho 0.727 0.315 0.500
Ho 0.773 0.815 0.000
Er 0.225 0.351 0.500
Er 0.275 0.851 0.000
Er 0.725 0.149 0.000
Er 0.775 0.649 0.500

Output
magnetic moment = 0.00 μB per formula unit
ΔH_f (0 K) = 282 meV/atom
V = 194.5 Å³/f.u.
density = 8.30 g/cm3
E = -51.89 eV per cell